1.
The following is a PBE calculation of BeZn2Br after structural relaxation, from Alexandria.

Summary:
relative energy among the computed polymorphs	392	meV/atom

Unit cell a=3.017 b=3.017 c=7.570 alpha=90.00 beta=90.00 gamma=90.00
Space group P4/mmm (No. 123)
Unique sites:
Be 0.000 0.000 0.000 x1
Zn 0.500 0.500 0.185 x2
Br 0.000 0.000 0.500 x1


2.
The following is a PBE calculation of Be2ZnBr after structural relaxation, from Alexandria.

Summary:
relative energy among the computed polymorphs	591	meV/atom

Unit cell a=3.221 b=3.221 c=5.964 alpha=90.00 beta=90.00 gamma=90.00
Space group P4/mmm (No. 123)
Unique sites:
Be 0.000 0.000 0.181 x2
Zn 0.500 0.500 0.000 x1
Br 0.500 0.500 0.500 x1


3.
The following is a PBE calculation of Be2ZnBr2 after structural relaxation, from Alexandria.

Summary:
relative energy among the computed polymorphs	0	meV/atom

Unit cell a=10.079 b=10.079 c=3.397 alpha=90.00 beta=90.00 gamma=90.00
Space group P4/mbm (No. 127)
Unique sites:
Be 0.073 0.427 0.000 x4
Zn 0.000 0.000 0.000 x2
Br 0.169 0.331 0.500 x4


The lowest relative energy among the computed polymorphs belongs to which entry? Be2ZnBr2


What did the first record say?
The following is a PBE calculation of BeZn2Br after structural relaxation, from Alexandria.

Summary:
relative energy among the computed polymorphs	392	meV/atom

Unit cell a=3.017 b=3.017 c=7.570 alpha=90.00 beta=90.00 gamma=90.00
Space group P4/mmm (No. 123)
Unique sites:
Be 0.000 0.000 0.000 x1
Zn 0.500 0.500 0.185 x2
Br 0.000 0.000 0.500 x1


Among the records above, which one has the highest relative energy among the computed polymorphs? Be2ZnBr


Among the records above, which one has the highest relative energy among the computed polymorphs? Be2ZnBr